No. 1
LiNp4Se8 | GGA-PBE | relaxed

Computed properties:
VASP energy = -7.37 eV per atom
ΔE_f (raw) = -1.10 eV/atom
space group = R-3m, No. 166

Cell and atoms, written as POSCAR:
```
LiNp4Se8
1.0
4.145 2.393 6.434
-4.145 2.393 6.434
0.000 -4.787 6.434
Li Np Se
1 4 8
Direct
0.000 0.000 0.000 Li
0.000 0.000 0.500 Np
0.000 0.500 0.000 Np
0.500 0.000 0.000 Np
0.500 0.500 0.500 Np
0.243 0.748 0.748 Se
0.244 0.244 0.244 Se
0.252 0.252 0.757 Se
0.252 0.757 0.252 Se
0.748 0.243 0.748 Se
0.748 0.748 0.243 Se
0.756 0.756 0.756 Se
0.757 0.252 0.252 Se
```


No. 2
LiSm3Np3Se8 | GGA-PBE | relaxed

Computed properties:
VASP energy = -6.97 eV per atom
ΔE_f (raw) = -1.45 eV/atom
space group = R-3m, No. 166

Cell and atoms, written as POSCAR:
```
LiSm3Np3Se8
1.0
4.110 2.373 6.736
-4.110 2.373 6.736
0.000 -4.745 6.736
Li Sm Np Se
1 3 3 8
Direct
0.000 0.000 0.000 Li
0.000 0.000 0.500 Sm
0.000 0.500 0.000 Sm
0.500 0.000 0.000 Sm
0.000 0.500 0.500 Np
0.500 0.000 0.500 Np
0.500 0.500 0.000 Np
0.246 0.246 0.750 Se
0.246 0.750 0.246 Se
0.250 0.754 0.754 Se
0.252 0.252 0.252 Se
0.748 0.748 0.748 Se
0.750 0.246 0.246 Se
0.754 0.250 0.754 Se
0.754 0.754 0.250 Se
```


No. 3
LiSm2NpSe4 | GGA-PBE | relaxed

Computed properties:
VASP energy = -6.33 eV per atom
ΔE_f (raw) = -1.55 eV/atom
space group = P2/m, No. 10

Cell and atoms, written as POSCAR:
```
LiSm2NpSe4
1.0
7.129 0.000 0.000
0.000 4.124 0.000
-2.408 0.000 6.723
Li Sm Np Se
1 2 1 4
Direct
0.000 0.000 0.000 Li
0.500 0.000 0.500 Sm
0.500 0.500 0.000 Sm
0.000 0.500 0.500 Np
0.240 0.500 0.241 Se
0.241 0.000 0.752 Se
0.759 0.000 0.248 Se
0.760 0.500 0.759 Se
```


No. 4
Li4Sm3NpSe8 | GGA-PBE | relaxed

Computed properties:
VASP energy = -5.46 eV per atom
ΔE_f (raw) = -1.55 eV/atom
space group = R-3m, No. 166

Cell and atoms, written as POSCAR:
```
Li4Sm3NpSe8
1.0
4.149 2.395 6.518
-4.149 2.395 6.518
0.000 -4.791 6.518
Li Sm Np Se
4 3 1 8
Direct
0.000 0.000 0.000 Li
0.000 0.500 0.500 Li
0.500 0.000 0.500 Li
0.500 0.500 0.000 Li
0.000 0.000 0.500 Sm
0.000 0.500 0.000 Sm
0.500 0.000 0.000 Sm
0.500 0.500 0.500 Np
0.249 0.249 0.746 Se
0.249 0.746 0.249 Se
0.253 0.253 0.253 Se
0.254 0.751 0.751 Se
0.746 0.249 0.249 Se
0.747 0.747 0.747 Se
0.751 0.254 0.751 Se
0.751 0.751 0.254 Se
```


No. 5
LiSm2NpSe5 | GGA-PBE | relaxed

Computed properties:
VASP energy = -6.14 eV per atom
ΔE_f (raw) = -1.51 eV/atom
space group = Cmc2_1, No. 36

Cell and atoms, written as POSCAR:
```
LiSm2NpSe5
1.0
2.060 -8.594 0.000
2.060 8.594 0.000
0.000 0.000 12.454
Li Sm Np Se
2 4 2 10
Direct
0.018 0.982 0.500 Li
0.982 0.018 0.000 Li
0.374 0.626 0.320 Sm
0.391 0.609 0.708 Sm
0.609 0.391 0.208 Sm
0.626 0.374 0.820 Sm
0.302 0.698 0.026 Np
0.698 0.302 0.526 Np
0.000 0.000 0.305 Se
0.000 0.000 0.805 Se
0.134 0.866 0.022 Se
0.191 0.809 0.364 Se
0.213 0.787 0.687 Se
0.453 0.547 0.096 Se
0.547 0.453 0.596 Se
0.787 0.213 0.187 Se
0.809 0.191 0.864 Se
0.866 0.134 0.522 Se
```


No. 6
Li3SmNp2Se6 | GGA-PBE | relaxed

Computed properties:
VASP energy = -6.12 eV per atom
ΔE_f (raw) = -1.35 eV/atom
space group = C2/m, No. 12

Cell and atoms, written as POSCAR:
```
Li3SmNp2Se6
1.0
3.566 -6.175 0.000
3.566 6.175 0.000
-2.379 0.000 6.493
Li Sm Np Se
3 1 2 6
Direct
0.000 0.000 0.000 Li
0.334 0.666 0.000 Li
0.666 0.334 0.000 Li
0.500 0.500 0.500 Sm
0.167 0.833 0.500 Np
0.833 0.167 0.500 Np
0.077 0.414 0.244 Se
0.248 0.248 0.758 Se
0.414 0.077 0.244 Se
0.586 0.923 0.756 Se
0.752 0.752 0.242 Se
0.923 0.586 0.756 Se
```


No. 7
LiSmNpSe3 | GGA-PBE | relaxed

Computed properties:
VASP energy = -6.37 eV per atom
ΔE_f (raw) = -1.37 eV/atom
space group = P2_1/m, No. 11

Cell and atoms, written as POSCAR:
```
LiSmNpSe3
1.0
8.466 0.000 0.000
0.000 4.008 0.000
-1.980 0.000 8.655
Li Sm Np Se
2 2 2 6
Direct
0.087 0.250 0.083 Li
0.913 0.750 0.917 Li
0.182 0.250 0.724 Sm
0.818 0.750 0.276 Sm
0.335 0.750 0.338 Np
0.665 0.250 0.662 Np
0.092 0.250 0.368 Se
0.221 0.750 0.994 Se
0.423 0.750 0.675 Se
0.577 0.250 0.325 Se
0.779 0.250 0.006 Se
0.908 0.750 0.632 Se
```


No. 8
Li3Sm3NpSe8 | GGA-PBE | relaxed

Computed properties:
VASP energy = -5.59 eV per atom
ΔE_f (raw) = -1.54 eV/atom
space group = R-3m, No. 166

Cell and atoms, written as POSCAR:
```
Li3Sm3NpSe8
1.0
4.169 2.407 6.491
-4.169 2.407 6.491
0.000 -4.814 6.491
Li Sm Np Se
3 3 1 8
Direct
0.000 0.500 0.500 Li
0.500 0.000 0.500 Li
0.500 0.500 0.000 Li
0.000 0.000 0.500 Sm
0.000 0.500 0.000 Sm
0.500 0.000 0.000 Sm
0.500 0.500 0.500 Np
0.252 0.252 0.252 Se
0.255 0.255 0.740 Se
0.255 0.740 0.255 Se
0.260 0.745 0.745 Se
0.740 0.255 0.255 Se
0.745 0.260 0.745 Se
0.745 0.745 0.260 Se
0.748 0.748 0.748 Se
```


No. 9
Li3SmNp3Se8 | GGA-PBE | relaxed

Computed properties:
VASP energy = -6.43 eV per atom
ΔE_f (raw) = -1.29 eV/atom
space group = R-3m, No. 166

Cell and atoms, written as POSCAR:
```
Li3SmNp3Se8
1.0
4.127 2.383 6.448
-4.127 2.383 6.448
0.000 -4.765 6.448
Li Sm Np Se
3 1 3 8
Direct
0.000 0.500 0.500 Li
0.500 0.000 0.500 Li
0.500 0.500 0.000 Li
0.500 0.500 0.500 Sm
0.000 0.000 0.500 Np
0.000 0.500 0.000 Np
0.500 0.000 0.000 Np
0.245 0.753 0.753 Se
0.247 0.247 0.755 Se
0.247 0.755 0.247 Se
0.251 0.251 0.251 Se
0.749 0.749 0.749 Se
0.753 0.245 0.753 Se
0.753 0.753 0.245 Se
0.755 0.247 0.247 Se
```


No. 10
Li3Np3SnSe8 | GGA-PBE | relaxed

Computed properties:
VASP energy = -6.14 eV per atom
ΔE_f (raw) = -1.04 eV/atom
space group = R-3m, No. 166

Cell and atoms, written as POSCAR:
```
Li3Np3SnSe8
1.0
4.138 2.389 6.370
-4.138 2.389 6.370
0.000 -4.779 6.370
Li Np Sn Se
3 3 1 8
Direct
0.000 0.500 0.500 Li
0.500 0.000 0.500 Li
0.500 0.500 0.000 Li
0.000 0.000 0.500 Np
0.000 0.500 0.000 Np
0.500 0.000 0.000 Np
0.500 0.500 0.500 Sn
0.241 0.754 0.754 Se
0.246 0.246 0.759 Se
0.246 0.759 0.246 Se
0.252 0.252 0.252 Se
0.748 0.748 0.748 Se
0.754 0.241 0.754 Se
0.754 0.754 0.241 Se
0.759 0.246 0.246 Se
```


No. 11
Li3NpSn2Se6 | GGA-PBE | relaxed

Computed properties:
VASP energy = -4.85 eV per atom
ΔE_f (raw) = -0.88 eV/atom
space group = C2/m, No. 12

Cell and atoms, written as POSCAR:
```
Li3NpSn2Se6
1.0
3.611 -6.247 0.000
3.611 6.247 0.000
-2.413 0.000 6.370
Li Np Sn Se
3 1 2 6
Direct
0.000 0.000 0.000 Li
0.330 0.670 0.000 Li
0.670 0.330 0.000 Li
0.500 0.500 0.500 Np
0.166 0.834 0.500 Sn
0.834 0.166 0.500 Sn
0.098 0.414 0.243 Se
0.269 0.269 0.752 Se
0.414 0.098 0.243 Se
0.586 0.902 0.757 Se
0.731 0.731 0.248 Se
0.902 0.586 0.757 Se
```


No. 12
Li2Np3SnSe6 | GGA-PBE | relaxed

Computed properties:
VASP energy = -6.64 eV per atom
ΔE_f (raw) = -1.01 eV/atom
space group = C2/m, No. 12

Cell and atoms, written as POSCAR:
```
Li2Np3SnSe6
1.0
9.037 -2.069 0.000
9.037 2.069 0.000
-1.956 0.000 8.083
Li Np Sn Se
2 3 1 6
Direct
0.176 0.176 0.352 Li
0.824 0.824 0.648 Li
0.167 0.167 0.827 Np
0.500 0.500 0.500 Np
0.833 0.833 0.173 Np
0.500 0.500 0.000 Sn
0.000 0.000 0.260 Se
0.000 0.000 0.740 Se
0.330 0.330 0.920 Se
0.333 0.333 0.422 Se
0.667 0.667 0.578 Se
0.670 0.670 0.080 Se
```


No. 13
LiNpSnSe3 | GGA-PBE | relaxed

Computed properties:
VASP energy = -5.74 eV per atom
ΔE_f (raw) = -0.86 eV/atom
space group = P2_1/m, No. 11

Cell and atoms, written as POSCAR:
```
LiNpSnSe3
1.0
8.886 0.000 0.000
0.000 3.960 0.000
-1.376 0.000 8.902
Li Np Sn Se
2 2 2 6
Direct
0.095 0.250 0.084 Li
0.905 0.750 0.916 Li
0.153 0.250 0.704 Np
0.847 0.750 0.296 Np
0.354 0.750 0.324 Sn
0.646 0.250 0.676 Sn
0.102 0.250 0.370 Se
0.197 0.750 0.956 Se
0.388 0.750 0.640 Se
0.612 0.250 0.360 Se
0.803 0.250 0.044 Se
0.898 0.750 0.630 Se
```


No. 14
Li2NpSn3Se6 | GGA-PBE | relaxed

Computed properties:
VASP energy = -4.92 eV per atom
ΔE_f (raw) = -0.78 eV/atom
space group = C2/m, No. 12

Cell and atoms, written as POSCAR:
```
Li2NpSn3Se6
1.0
3.572 -6.196 0.000
3.572 6.196 0.000
-2.277 0.000 6.993
Li Np Sn Se
2 1 3 6
Direct
0.179 0.821 0.000 Li
0.821 0.179 0.000 Li
0.500 0.500 0.000 Np
0.000 0.000 0.500 Sn
0.336 0.664 0.500 Sn
0.664 0.336 0.500 Sn
0.097 0.419 0.773 Se
0.259 0.259 0.247 Se
0.419 0.097 0.773 Se
0.581 0.903 0.227 Se
0.741 0.741 0.753 Se
0.903 0.581 0.227 Se
```


No. 15
SrLi2NpSe4 | GGA-PBE | relaxed

Computed properties:
VASP energy = -5.39 eV per atom
ΔE_f (raw) = -1.35 eV/atom
space group = P2/m, No. 10

Cell and atoms, written as POSCAR:
```
SrLi2NpSe4
1.0
6.912 0.000 0.000
0.000 4.191 0.000
-2.607 0.000 6.883
Sr Li Np Se
1 2 1 4
Direct
0.000 0.000 0.000 Sr
0.500 0.000 0.500 Li
0.500 0.500 0.000 Li
0.000 0.500 0.500 Np
0.255 0.000 0.735 Se
0.258 0.500 0.281 Se
0.742 0.500 0.719 Se
0.745 0.000 0.265 Se
```


No. 16
SrLiNpSe3 | GGA-PBE | relaxed

Computed properties:
VASP energy = -5.94 eV per atom
ΔE_f (raw) = -1.44 eV/atom
space group = P2_1/m, No. 11

Cell and atoms, written as POSCAR:
```
SrLiNpSe3
1.0
8.710 0.000 0.000
0.000 4.189 0.000
-2.043 0.000 8.828
Sr Li Np Se
2 2 2 6
Direct
0.186 0.250 0.234 Sr
0.814 0.750 0.766 Sr
0.085 0.250 0.586 Li
0.915 0.750 0.414 Li
0.332 0.750 0.838 Np
0.668 0.250 0.162 Np
0.107 0.250 0.867 Se
0.214 0.750 0.510 Se
0.438 0.750 0.167 Se
0.562 0.250 0.833 Se
0.786 0.250 0.490 Se
0.893 0.750 0.133 Se
```


No. 17
LiTb2NpSe4 | GGA-PBE | relaxed

Computed properties:
VASP energy = -6.30 eV per atom
ΔE_f (raw) = -1.54 eV/atom
space group = P2/m, No. 10

Cell and atoms, written as POSCAR:
```
LiTb2NpSe4
1.0
7.066 0.000 0.000
0.000 4.075 0.000
-2.375 0.000 6.660
Li Tb Np Se
1 2 1 4
Direct
0.000 0.000 0.000 Li
0.500 0.000 0.500 Tb
0.500 0.500 0.000 Tb
0.000 0.500 0.500 Np
0.245 0.500 0.242 Se
0.247 0.000 0.755 Se
0.753 0.000 0.245 Se
0.755 0.500 0.758 Se
```


No. 18
Li2Tb3NpSe6 | GGA-PBE | relaxed

Computed properties:
VASP energy = -5.89 eV per atom
ΔE_f (raw) = -1.59 eV/atom
space group = C2/m, No. 12

Cell and atoms, written as POSCAR:
```
Li2Tb3NpSe6
1.0
8.877 -2.037 0.000
8.877 2.037 0.000
-1.848 0.000 7.930
Li Tb Np Se
2 3 1 6
Direct
0.176 0.176 0.353 Li
0.824 0.824 0.647 Li
0.166 0.166 0.833 Tb
0.500 0.500 0.500 Tb
0.834 0.834 0.167 Tb
0.500 0.500 0.000 Np
0.003 0.003 0.253 Se
0.332 0.332 0.910 Se
0.333 0.333 0.418 Se
0.667 0.667 0.582 Se
0.668 0.668 0.090 Se
0.997 0.997 0.747 Se
```


No. 19
LiTbNp2Se4 | GGA-PBE | relaxed

Computed properties:
VASP energy = -7.13 eV per atom
ΔE_f (raw) = -1.33 eV/atom
space group = P2/m, No. 10

Cell and atoms, written as POSCAR:
```
LiTbNp2Se4
1.0
7.053 0.000 0.000
0.000 4.083 0.000
-2.362 0.000 6.670
Li Tb Np Se
1 1 2 4
Direct
0.000 0.000 0.000 Li
0.500 0.500 0.000 Tb
0.000 0.500 0.500 Np
0.500 0.000 0.500 Np
0.243 0.500 0.241 Se
0.246 0.000 0.756 Se
0.754 0.000 0.244 Se
0.757 0.500 0.759 Se
```


No. 20
Li3Tb3NpSe8 | GGA-PBE | relaxed

Computed properties:
VASP energy = -5.58 eV per atom
ΔE_f (raw) = -1.55 eV/atom
space group = R-3m, No. 166

Cell and atoms, written as POSCAR:
```
Li3Tb3NpSe8
1.0
4.108 2.372 6.489
-4.108 2.372 6.489
0.000 -4.743 6.489
Li Tb Np Se
3 3 1 8
Direct
0.000 0.500 0.500 Li
0.500 0.000 0.500 Li
0.500 0.500 0.000 Li
0.000 0.000 0.500 Tb
0.000 0.500 0.000 Tb
0.500 0.000 0.000 Tb
0.500 0.500 0.500 Np
0.251 0.251 0.251 Se
0.253 0.253 0.745 Se
0.253 0.745 0.253 Se
0.255 0.747 0.747 Se
0.745 0.253 0.253 Se
0.747 0.255 0.747 Se
0.747 0.747 0.255 Se
0.749 0.749 0.749 Se
```